ErTm2Au: optimized geometry, PBE-GGA.

a = 3.523 Å, b = 3.523 Å, c = 8.646 Å
α = 90.00°, β = 90.00°, γ = 90.00°
Fractional coordinates of all 4 atoms:
Tm (0.000, 0.000, 0.794)
Tm (0.000, 0.000, 0.206)
Au (0.500, 0.500, 0.000)
Er (0.500, 0.500, 0.500)

Calculated values
The value obtained for the density of states at the Fermi level is 5.2 states/eV/f.u. The magnetization comes out at 0.0 Bohr magnetons per cell. The offset from the most stable computed form is 57 meV per atom. Its crystal system is tetragonal.


ErTm2Au2: optimized geometry, PBE-GGA.

a = 3.751 Å, b = 8.079 Å, c = 8.079 Å
α = 90.00°, β = 90.00°, γ = 90.00°
Fractional coordinates of all 10 atoms:
Er (0.000, 0.000, 0.000)
Er (0.000, 0.500, 0.500)
Tm (0.500, 0.161, 0.661)
Tm (0.500, 0.661, 0.839)
Tm (0.500, 0.839, 0.339)
Tm (0.500, 0.339, 0.161)
Au (0.000, 0.365, 0.865)
Au (0.000, 0.865, 0.635)
Au (0.000, 0.635, 0.135)
Au (0.000, 0.135, 0.365)

Calculated values
The value obtained for the density of states at the Fermi level is 7.2 states/eV/f.u. The magnetization comes out at 0.0 Bohr magnetons per cell. Its crystal system is tetragonal.


ErTmAu: optimized geometry, PBE-GGA.

a = 7.059 Å, b = 6.878 Å, c = 6.732 Å
α = 90.22°, β = 90.00°, γ = 90.00°
Fractional coordinates of all 12 atoms:
Au (0.536, 0.721, 0.252)
Au (0.964, 0.721, 0.752)
Au (0.036, 0.279, 0.248)
Au (0.464, 0.279, 0.748)
Er (0.916, 0.884, 0.249)
Er (0.584, 0.884, 0.749)
Er (0.416, 0.116, 0.251)
Er (0.084, 0.116, 0.751)
Tm (0.250, 0.554, 0.000)
Tm (0.250, 0.554, 0.500)
Tm (0.750, 0.446, 0.500)
Tm (0.750, 0.446, 0.000)

Calculated values
The value obtained for the density of states at the Fermi level is 3.9 states/eV/f.u. The magnetization comes out at 0.0 Bohr magnetons per cell. The offset from the most stable computed form is 97 meV per atom. Its crystal system is monoclinic.


Er3Tm12Au5: optimized geometry, PBE-GGA.

a = 15.184 Å, b = 15.184 Å, c = 15.184 Å
α = 109.47°, β = 109.47°, γ = 109.47°
Fractional coordinates of all 80 atoms:
Er (0.750, 0.375, 0.125)
Er (0.875, 0.750, 0.125)
Er (0.375, 0.750, 0.625)
Er (0.250, 0.125, 0.375)
Er (0.875, 0.125, 0.250)
Er (0.375, 0.625, 0.250)
Er (0.625, 0.375, 0.750)
Er (0.125, 0.875, 0.750)
Er (0.750, 0.875, 0.625)
Er (0.625, 0.250, 0.375)
Er (0.125, 0.250, 0.875)
Er (0.250, 0.625, 0.875)
Au (0.125, 0.375, 0.250)
Au (0.000, 0.500, 0.000)
Au (0.000, 0.000, 0.000)
Au (0.375, 0.250, 0.125)
Au (0.500, 0.000, 0.500)
Au (0.500, 0.500, 0.000)
Au (0.125, 0.750, 0.375)
Au (0.750, 0.125, 0.875)
Au (0.750, 0.625, 0.375)
Au (0.375, 0.125, 0.750)
Au (0.625, 0.875, 0.250)
Au (0.500, 0.500, 0.500)
Au (0.500, 0.000, 0.000)
Au (0.000, 0.000, 0.500)
Au (0.250, 0.375, 0.625)
Au (0.250, 0.875, 0.125)
Au (0.000, 0.500, 0.500)
Au (0.875, 0.250, 0.625)
Au (0.625, 0.750, 0.875)
Au (0.875, 0.625, 0.750)
Tm (0.712, 0.119, 0.040)
Tm (0.328, 0.540, 0.421)
Tm (0.960, 0.381, 0.288)
Tm (0.540, 0.212, 0.119)
Tm (0.593, 0.712, 0.672)
Tm (0.960, 0.579, 0.172)
Tm (0.328, 0.788, 0.407)
Tm (0.079, 0.907, 0.119)
Tm (0.579, 0.960, 0.672)
Tm (0.712, 0.593, 0.172)
Tm (0.788, 0.460, 0.381)
Tm (0.828, 0.921, 0.040)
Tm (0.119, 0.712, 0.540)
Tm (0.381, 0.421, 0.093)
Tm (0.093, 0.921, 0.381)
Tm (0.407, 0.119, 0.579)
Tm (0.093, 0.172, 0.212)
Tm (0.460, 0.672, 0.079)
Tm (0.828, 0.907, 0.288)
Tm (0.119, 0.407, 0.079)
Tm (0.381, 0.960, 0.788)
Tm (0.579, 0.619, 0.407)
Tm (0.921, 0.828, 0.540)
Tm (0.788, 0.328, 0.907)
Tm (0.421, 0.381, 0.593)
Tm (0.079, 0.172, 0.460)
Tm (0.212, 0.672, 0.093)
Tm (0.172, 0.093, 0.712)
Tm (0.619, 0.040, 0.212)
Tm (0.881, 0.593, 0.921)
Tm (0.540, 0.328, 0.921)
Tm (0.593, 0.881, 0.421)
Tm (0.907, 0.828, 0.788)
Tm (0.907, 0.079, 0.619)
Tm (0.881, 0.288, 0.460)
Tm (0.172, 0.079, 0.960)
Tm (0.619, 0.579, 0.907)
Tm (0.421, 0.040, 0.328)
Tm (0.288, 0.407, 0.828)
Tm (0.212, 0.540, 0.619)
Tm (0.921, 0.093, 0.881)
Tm (0.672, 0.212, 0.593)
Tm (0.460, 0.788, 0.881)
Tm (0.040, 0.421, 0.828)
Tm (0.407, 0.288, 0.328)
Tm (0.040, 0.619, 0.712)
Tm (0.672, 0.460, 0.579)
Tm (0.288, 0.881, 0.960)

Calculated values
The value obtained for the density of states at the Fermi level is 18.7 states/eV/f.u. The magnetization comes out at 0.0 Bohr magnetons per cell. Its crystal system is cubic.


Er2TmAu6: optimized geometry, PBE-GGA.

a = 5.248 Å, b = 5.217 Å, c = 8.403 Å
α = 71.92°, β = 80.98°, γ = 59.66°
Fractional coordinates of all 9 atoms:
Er (0.500, 0.835, 0.830)
Er (0.500, 0.165, 0.170)
Tm (0.000, 0.000, 0.500)
Au (0.167, 0.835, 0.169)
Au (0.833, 0.496, 0.169)
Au (0.833, 0.165, 0.831)
Au (0.167, 0.504, 0.831)
Au (0.328, 0.329, 0.500)
Au (0.672, 0.671, 0.500)

Calculated values
The value obtained for the density of states at the Fermi level is 4.4 states/eV/f.u. The magnetization comes out at 0.0 Bohr magnetons per cell. Its crystal system is monoclinic.


Er2Tm3Au2: optimized geometry, PBE-GGA.

a = 3.655 Å, b = 6.546 Å, c = 9.045 Å
α = 114.76°, β = 90.00°, γ = 106.21°
Site moments in Bohr magnetons follow the coordinates.
Fractional coordinates of all 7 atoms:
Er (0.849, 0.698, 0.188)  0.07
Er (0.151, 0.302, 0.812)  0.07
Tm (0.500, 0.000, 0.000)  0.03
Tm (0.613, 0.226, 0.443)  0.07
Tm (0.387, 0.774, 0.557)  0.07
Au (0.826, 0.653, 0.770)  0.01
Au (0.174, 0.347, 0.230)  0.01

Calculated values
The value obtained for the density of states at the Fermi level is 10.1 states/eV/f.u. The magnetization comes out at 0.4 Bohr magnetons per cell. Its crystal system is monoclinic.


Number 1: DFT formation energy -0.409 eV/atom. Number 2: DFT formation energy -0.722 eV/atom. Number 3: DFT formation energy -0.562 eV/atom. Number 4: DFT formation energy 0.110 eV/atom. Number 5: DFT formation energy -0.813 eV/atom. Number 6: DFT formation energy -0.515 eV/atom.